First-principles (PBE) data for a relaxed structure of ZrTlCr, as listed in the Alexandria database.

a b c (Å): 3.2419 3.2419 7.0404
angles (deg): 90.00 90.00 120.00
Last column: nearest neighbours and their distance in Å.
Space group P3m1 (No. 156)
Inequivalent atoms, fractional coordinates:
Zr (0.0000, 0.0000, 0.0000) (multiplicity 1)  3 Cr 2.81
Tl (0.3333, 0.6667, 0.6287) (multiplicity 1)  3 Cr 2.99, 3 Zr 3.22, 6 Tl 3.24
Cr (0.6667, 0.3333, 0.2977) (multiplicity 1)  3 Zr 2.81, 3 Tl 2.99

Output
Crystal system   trigonal
Spin magnetization   0.816 μB/atom
Density   9.008 g/cm3

First-principles (PBE) data for a relaxed structure of Zr2TlCr, as listed in the Alexandria database.

a b c (Å): 4.2265 4.2265 9.3330
angles (deg): 90.00 90.00 90.00
Last column: nearest neighbours and their distance in Å.
Space group I-4m2 (No. 119)
Inequivalent atoms, fractional coordinates:
Zr (0.0000, 0.0000, 0.0000) (multiplicity 2)  4 Tl 2.99, 4 Zr 3.15, 4 Cr 3.15
Zr (0.0000, 0.5000, 0.2500) (multiplicity 2)  4 Cr 2.99, 4 Tl 3.15, 4 Zr 3.15
Tl (0.0000, 0.0000, 0.5000) (multiplicity 2)  8 Zr 2.99-3.15, 4 Cr 3.15
Cr (0.0000, 0.5000, 0.7500) (multiplicity 2)  8 Zr 2.99-3.15, 4 Tl 3.15

Output
Crystal system   tetragonal
Spin magnetization   0.588 μB/atom
Density   8.741 g/cm3

First-principles (PBE) data for a relaxed structure of ZrTlCr, as listed in the Alexandria database.

a b c (Å): 6.7322 6.7322 6.7322
angles (deg): 90.00 90.00 90.00
Last column: nearest neighbours and their distance in Å.
Space group F-43m (No. 216)
Inequivalent atoms, fractional coordinates:
Zr (0.0000, 0.0000, 0.0000) (multiplicity 4)  4 Cr 2.92, 4 Tl 2.92
Tl (0.2500, 0.2500, 0.2500) (multiplicity 4)  4 Zr 2.92
Cr (0.2500, 0.2500, 0.7500) (multiplicity 4)  4 Zr 2.92

Output
Crystal system   cubic
Spin magnetization   1.439 μB/atom
Density   7.567 g/cm3

First-principles (PBE) data for a relaxed structure of Zr2TlCr, as listed in the Alexandria database.

a b c (Å): 10.3577 3.1415 5.3291
angles (deg): 90.00 97.36 90.00
Last column: nearest neighbours and their distance in Å.
Space group C2/m (No. 12)
Inequivalent atoms, fractional coordinates:
Zr (0.2454, 0.0000, 0.2546) (multiplicity 4)  3 Cr 3.00-3.20, 6 Zr 3.04-3.15, 3 Tl 3.12-3.14
Tl (0.0000, 0.5000, 0.0000) (multiplicity 2)  4 Cr 3.09, 6 Zr 3.12-3.14, 2 Tl 3.14
Cr (0.0000, 0.0000, 0.5000) (multiplicity 2)  6 Zr 3.00-3.20, 4 Tl 3.09, 2 Cr 3.14

Output
Crystal system   monoclinic
Spin magnetization   0.868 μB/atom
Density   8.474 g/cm3

First-principles (PBE) data for a relaxed structure of Zr2TlCr, as listed in the Alexandria database.

a b c (Å): 4.1471 4.1471 21.0693
angles (deg): 90.00 90.00 90.00
Last column: nearest neighbours and their distance in Å.
Space group I-42d (No. 122)
Inequivalent atoms, fractional coordinates:
Zr (0.2476, 0.2500, 0.1250) (multiplicity 8)  4 Zr 2.92-2.95, 2 Cr 3.01, 2 Tl 3.02
Tl (0.0000, 0.0000, 0.5000) (multiplicity 4)  4 Cr 2.93, 4 Zr 3.02
Cr (0.0000, 0.0000, 0.0000) (multiplicity 4)  4 Tl 2.93, 4 Zr 3.01

Output
Crystal system   tetragonal
Spin magnetization   0.681 μB/atom
Density   8.044 g/cm3

First-principles (PBE) data for a relaxed structure of ZrTlCr2, as listed in the Alexandria database.

a b c (Å): 3.2555 4.5952 9.3648
angles (deg): 90.00 90.00 90.00
Last column: nearest neighbours and their distance in Å.
Space group Imm2 (No. 44)
Inequivalent atoms, fractional coordinates:
Zr (0.0000, 0.0000, 0.0000) (multiplicity 2)  8 Cr 2.84-3.09, 4 Tl 3.08-3.09
Tl (0.0000, 0.5000, 0.7789) (multiplicity 2)  6 Cr 2.87-2.92, 4 Zr 3.08-3.09
Cr (0.0000, 0.0000, 0.5380) (multiplicity 2)  2 Cr 2.36
Cr (0.0000, 0.5000, 0.2211) (multiplicity 2)  2 Cr 2.36

Output
Crystal system   orthorhombic
Spin magnetization   0.095 μB/atom
Density   9.473 g/cm3

First-principles (PBE) data for a relaxed structure of Zr3TlCr, as listed in the Alexandria database.

a b c (Å): 4.8671 4.8671 4.8671
angles (deg): 90.00 90.00 90.00
Last column: nearest neighbours and their distance in Å.
Space group Pm-3m (No. 221)
Inequivalent atoms, fractional coordinates:
Zr (0.0000, 0.0000, 0.5000) (multiplicity 3)  2 Cr 2.43
Tl (0.5000, 0.5000, 0.5000) (multiplicity 1)  12 Zr 3.44
Cr (0.0000, 0.0000, 0.0000) (multiplicity 1)  6 Zr 2.43

Output
Crystal system   cubic
Spin magnetization   0.000 μB/atom
Density   7.634 g/cm3

First-principles (PBE) data for a relaxed structure of ZrTl2Cr, as listed in the Alexandria database.

a b c (Å): 7.7180 7.7180 5.9272
angles (deg): 90.00 90.00 90.00
Last column: nearest neighbours and their distance in Å.
Space group I-42d (No. 122)
Inequivalent atoms, fractional coordinates:
Zr (0.0000, 0.0000, 0.0000) (multiplicity 4)  2 Cr 2.96, 4 Tl 2.99
Tl (0.2209, 0.2500, 0.6250) (multiplicity 8)  2 Cr 2.68, 2 Zr 2.99, 2 Tl 3.00
Cr (0.0000, 0.0000, 0.5000) (multiplicity 4)  4 Tl 2.68, 2 Zr 2.96

Output
Crystal system   tetragonal
Spin magnetization   0.000 μB/atom
Density   10.384 g/cm3

First-principles (PBE) data for a relaxed structure of ZrTlCr, as listed in the Alexandria database.

a b c (Å): 4.7330 4.7330 3.2231
angles (deg): 90.00 90.00 120.00
Last column: nearest neighbours and their distance in Å.
Space group P-6m2 (No. 187)
Inequivalent atoms, fractional coordinates:
Zr (0.0000, 0.0000, 0.0000) (multiplicity 1)  6 Tl 3.17, 6 Cr 3.17, 2 Zr 3.22
Tl (0.3333, 0.6667, 0.5000) (multiplicity 1)  3 Cr 2.73
Cr (0.6667, 0.3333, 0.5000) (multiplicity 1)  3 Tl 2.73

Output
Crystal system   hexagonal
Spin magnetization   1.142 μB/atom
Density   9.231 g/cm3

First-principles (PBE) data for a relaxed structure of ZrTl3Cr, as listed in the Alexandria database.

a b c (Å): 5.6283 5.6283 5.6283
angles (deg): 90.00 90.00 90.00
Last column: nearest neighbours and their distance in Å.
Space group Pm-3m (No. 221)
Inequivalent atoms, fractional coordinates:
Zr (0.0000, 0.0000, 0.0000) (multiplicity 1)  6 Tl 2.81
Tl (0.0000, 0.0000, 0.5000) (multiplicity 3)  2 Zr 2.81
Cr (0.5000, 0.5000, 0.5000) (multiplicity 1)  12 Tl 3.98

Output
Crystal system   cubic
Spin magnetization   0.844 μB/atom
Density   7.044 g/cm3

First-principles (PBE) data for a relaxed structure of ZrTl2Cr, as listed in the Alexandria database.

a b c (Å): 4.5396 4.5488 8.9068
angles (deg): 90.00 90.00 90.00
Last column: nearest neighbours and their distance in Å.
Space group Cmm2 (No. 35)
Inequivalent atoms, fractional coordinates:
Zr (0.0000, 0.0000, 0.0000) (multiplicity 2)  4 Cr 2.81-2.82
Tl (0.0000, 0.0000, 0.5832) (multiplicity 2)  4 Cr 3.06, 4 Tl 3.21
Tl (0.0000, 0.5000, 0.2811) (multiplicity 2)  8 Tl 3.21-3.52, 4 Zr 3.38
Cr (0.0000, 0.5000, 0.8133) (multiplicity 2)  4 Zr 2.81-2.82, 4 Tl 3.06

Output
Crystal system   orthorhombic
Spin magnetization   0.612 μB/atom
Density   9.967 g/cm3

First-principles (PBE) data for a relaxed structure of ZrTlCr2, as listed in the Alexandria database.

a b c (Å): 3.3312 3.3312 6.5354
angles (deg): 90.00 90.00 90.00
Last column: nearest neighbours and their distance in Å.
Space group P4/mmm (No. 123)
Inequivalent atoms, fractional coordinates:
Zr (0.0000, 0.0000, 0.0000) (multiplicity 1)  8 Cr 2.84
Tl (0.0000, 0.0000, 0.5000) (multiplicity 1)  8 Cr 2.90
Cr (0.5000, 0.5000, 0.2422) (multiplicity 2)  4 Zr 2.84, 4 Tl 2.90, 1 Cr 3.17

Output
Crystal system   tetragonal
Spin magnetization   1.176 μB/atom
Density   9.150 g/cm3

First-principles (PBE) data for a relaxed structure of ZrTlCr2, as listed in the Alexandria database.

a b c (Å): 3.0739 3.0739 7.5029
angles (deg): 90.00 90.00 90.00
Last column: nearest neighbours and their distance in Å.
Space group P4mm (No. 99)
Inequivalent atoms, fractional coordinates:
Zr (0.0000, 0.0000, 0.0000) (multiplicity 1)  5 Cr 2.89-3.06, 4 Zr 3.07
Tl (0.5000, 0.5000, 0.6780) (multiplicity 1)  5 Cr 2.97-3.18, 4 Tl 3.07, 4 Zr 3.25
Cr (0.0000, 0.0000, 0.4075) (multiplicity 1)  4 Cr 2.46
Cr (0.5000, 0.5000, 0.2539) (multiplicity 1)  4 Cr 2.46

Output
Crystal system   tetragonal
Spin magnetization   0.248 μB/atom
Density   9.360 g/cm3

First-principles (PBE) data for a relaxed structure of ZrTlCr, as listed in the Alexandria database.

a b c (Å): 3.2893 3.2893 11.3044
angles (deg): 90.00 90.00 90.00
Last column: nearest neighbours and their distance in Å.
Space group I4mm (No. 107)
Inequivalent atoms, fractional coordinates:
Zr (0.0000, 0.0000, 0.0000) (multiplicity 2)  4 Cr 2.87, 4 Tl 3.19
Tl (0.0000, 0.0000, 0.6935) (multiplicity 2)  4 Cr 2.93, 4 Zr 3.19
Cr (0.0000, 0.0000, 0.3506) (multiplicity 2)  4 Zr 2.87, 4 Tl 2.93

Output
Crystal system   tetragonal
Spin magnetization   0.912 μB/atom
Density   9.438 g/cm3

First-principles (PBE) data for a relaxed structure of ZrTl2Cr, as listed in the Alexandria database.

a b c (Å): 10.1588 3.4075 5.4027
angles (deg): 90.00 108.03 90.00
Last column: nearest neighbours and their distance in Å.
Space group C2/m (No. 12)
Inequivalent atoms, fractional coordinates:
Zr (0.0000, 0.0000, 0.0000) (multiplicity 2)  6 Tl 3.11-3.17, 4 Cr 3.19, 2 Zr 3.41
Tl (0.2383, 0.0000, 0.7366) (multiplicity 4)  2 Cr 2.91, 3 Zr 3.11-3.17, 2 Tl 3.14
Cr (0.0000, 0.5000, 0.5000) (multiplicity 2)  4 Tl 2.91, 4 Zr 3.19

Output
Crystal system   monoclinic
Spin magnetization   0.704 μB/atom
Density   10.308 g/cm3

Number 1: total energy -19.3 eV per cell, energy above the lowest structure with this stoichiometry 0.158 eV/atom. Number 2: total energy -56.7 eV per cell, energy above the lowest structure with this stoichiometry 0.130 eV/atom. Number 3: total energy -71.7 eV per cell, energy above the lowest structure with this stoichiometry 0.609 eV/atom. Number 4: total energy -55.6 eV per cell, energy above the lowest structure with this stoichiometry 0.274 eV/atom. Number 5: total energy -105.7 eV per cell, energy above the lowest structure with this stoichiometry 0.613 eV/atom. Number 6: total energy -57.4 eV per cell, energy above the lowest structure with this stoichiometry 0.167 eV/atom. Number 7: total energy -35.4 eV per cell, energy above the lowest structure with this stoichiometry 0.000 eV/atom. Number 8: total energy -80.0 eV per cell, energy above the lowest structure with this stoichiometry 0.437 eV/atom. Number 9: total energy -19.5 eV per cell, energy above the lowest structure with this stoichiometry 0.070 eV/atom. Number 10: total energy -20.4 eV per cell, energy above the lowest structure with this stoichiometry 0.122 eV/atom. Number 11: total energy -43.1 eV per cell, energy above the lowest structure with this stoichiometry 0.047 eV/atom. Number 12: total energy -28.4 eV per cell, energy above the lowest structure with this stoichiometry 0.232 eV/atom. Number 13: total energy -29.4 eV per cell, energy above the lowest structure with this stoichiometry 0.000 eV/atom. Number 14: total energy -39.5 eV per cell, energy above the lowest structure with this stoichiometry 0.000 eV/atom. Number 15: total energy -42.9 eV per cell, energy above the lowest structure with this stoichiometry 0.071 eV/atom.